No. 1
Below is a relaxed structure of PmLuAgSb, with properties calculated at the PBE-GGA level.

## Properties
SG = No. 216
Energy relative to the elements, uncorrected = -506.1 meV/atom
E = -4.567 eV per atom
Total magnetic moment = 0.7 μB/f.u.

Lattice parameters (Å, degrees): 5.245 5.245 5.245 60.00 60.00 60.00
Site moments in Bohr magnetons follow the coordinates.
Positions (direct):
Lu1 0.750 0.750 0.750  0.19
Ag1 0.000 0.000 0.000  0.02
Pm1 0.250 0.250 0.250  0.19
Sb1 0.500 0.500 0.500  -0.01

No. 2
Below is a relaxed structure of Sr2AsW, with properties calculated at the PBE-GGA level.

## Properties
SG = No. 65
Formation energy from the elements = 14.10 kcal/mol of atoms
E = -4.630 eV per atom
Total magnetic moment = 3.4 μB/f.u.

Lattice parameters (Å, degrees): 5.066 5.067 4.288 90.00 90.00 90.58
Site moments in Bohr magnetons follow the coordinates.
Positions (direct):
Sr1 0.500 0.500 0.000  0.05
Sr2 0.000 0.000 0.000  0.05
W1 0.500 0.000 0.500  2.40
As1 0.000 0.500 0.500  -0.03

No. 3
Below is a relaxed structure of Pr8N6Cl, with properties calculated at the PBE-GGA level.

## Properties
SG = No. 147
Energy relative to the elements, uncorrected = -1121.1 meV/atom
E = -7.123 eV per atom
Total magnetic moment = 0.0 μB/f.u.

Lattice parameters (Å, degrees): 3.733 9.856 9.856 120.00 90.00 90.00
Positions (direct):
Pr1 0.253 0.034 0.670
Pr2 0.747 0.365 0.034
Pr3 0.751 0.333 0.667
Pr4 0.253 0.330 0.365
Pr5 0.747 0.966 0.330
Pr6 0.253 0.635 0.966
Pr7 0.249 0.667 0.333
Pr8 0.747 0.670 0.635
N1 0.249 0.345 0.866
N2 0.751 0.479 0.345
N3 0.751 0.655 0.134
N4 0.249 0.134 0.479
N5 0.751 0.866 0.521
N6 0.249 0.521 0.655
Cl1 0.500 0.000 0.000